5
Lattice="5.682 0.000 0.000 0.000 5.682 0.000 0.000 0.000 5.682" Properties=species:S:1:pos:R:3 comment="Sr3GaCl GGA-PBE optimized geometry" rho_g_cm3=3.3 volume_a3_per_atom=36.681 formation_energy_uncorrected_ev_per_atom=-0.579 energy_ev_per_atom=-2.56 pbc="T T T"
Sr 0.000 2.841 0.000
Sr 0.000 0.000 2.841
Sr 2.841 0.000 0.000
Ga 2.841 2.841 2.841
Cl 0.000 0.000 0.000


5
Lattice="-0.636 2.379 -3.336 -3.693 1.130 1.510 2.555 4.611 2.801" Properties=species:S:1:pos:R:3 comment="CuHgSeN2 GGA-PBE optimized geometry" rho_g_cm3=6.0 volume_a3_per_atom=20.530 formation_energy_uncorrected_ev_per_atom=2.010 energy_ev_per_atom=-2.90 pbc="T T T"
Cu -0.887 4.060 0.487
Hg 0.000 0.000 0.000
Se 1.278 2.305 1.400
N -1.847 0.565 0.755
N -0.318 1.190 -1.668


4
Lattice="5.001 0.000 0.000 2.500 4.331 0.000 2.500 1.444 4.083" Properties=species:S:1:pos:R:3 comment="LaScAgRh GGA-PBE optimized geometry" rho_g_cm3=7.4 volume_a3_per_atom=22.107 energy_ev_per_atom=-5.79 formation_enthalpy_0k_mev_per_atom=-427 pbc="T T T"
Sc 5.001 2.887 2.042
Rh 7.501 4.331 3.062
Ag 2.500 1.444 1.021
La 0.000 0.000 0.000


6
Lattice="4.813 0.000 0.000 2.406 4.168 0.000 2.406 1.389 3.930" Properties=species:S:1:pos:R:3 comment="NpVCo4 GGA-PBE optimized geometry" rho_g_cm3=11.0 volume_a3_per_atom=13.139 energy_ev_per_atom=-8.41 formation_enthalpy_0k_mev_per_atom=8 pbc="T T T"
Np 2.406 1.389 0.982
Co 4.813 2.779 0.477
Co 4.813 1.376 2.461
Co 6.027 3.480 2.461
Co 3.598 3.480 2.461
V 0.000 0.000 0.000


10
Lattice="-0.064 -6.703 3.559 6.021 1.687 3.286 -3.894 3.006 5.591" Properties=species:S:1:pos:R:3 comment="CsKBi2Pt GGA-PBE optimized geometry" rho_g_cm3=6.5 volume_a3_per_atom=39.925 energy_ev_per_atom=-3.52 formation_enthalpy_0k_mev_per_atom=-367 pbc="T T T"
Cs -0.457 0.345 4.456
Cs 2.520 -2.355 7.981
K 4.474 -3.085 4.775
K 1.483 -1.931 2.071
Bi -1.639 -2.571 8.120
Bi 0.653 -4.341 4.828
Bi 1.410 2.331 7.608
Bi 3.703 0.561 4.316
Pt 0.000 0.000 0.000
Pt 3.011 0.844 1.643


5
Lattice="4.706 0.000 0.000 0.000 4.527 0.000 0.000 0.000 4.706" Properties=species:S:1:pos:R:3 comment="TiRe2PCl GGA-PBE optimized geometry" rho_g_cm3=8.1 volume_a3_per_atom=20.049 formation_energy_uncorrected_ev_per_atom=1.830 energy_ev_per_atom=-6.18 pbc="T T T"
Re 0.000 0.000 2.353
Re 2.353 0.000 0.000
Cl 2.353 2.264 2.353
P 0.000 2.264 0.000
Ti 0.000 0.000 0.000


Please write out number 2 again, unchanged.
5
Lattice="-0.636 2.379 -3.336 -3.693 1.130 1.510 2.555 4.611 2.801" Properties=species:S:1:pos:R:3 comment="CuHgSeN2 GGA-PBE optimized geometry" rho_g_cm3=6.0 volume_a3_per_atom=20.530 formation_energy_uncorrected_ev_per_atom=2.010 energy_ev_per_atom=-2.90 pbc="T T T"
Cu -0.887 4.060 0.487
Hg 0.000 0.000 0.000
Se 1.278 2.305 1.400
N -1.847 0.565 0.755
N -0.318 1.190 -1.668